A plane-wave DFT calculation with GGA-PBE was carried out for Tb3MgZn2InGa2 after structural relaxation.

Values from the calculation:
The symmetry is Amm2 (38). The value obtained for the total energy is -31.3 eV/cell.

Cell: 4.468 7.104 7.104 Å, 118.87 90.00 90.00°
Atoms (fractional coordinates):
Tb: 0.000 0.000 0.000
Tb: 0.000 0.115 0.560
Tb: 0.000 0.560 0.115
Mg: 0.500 0.324 0.324
Zn: 0.500 0.566 0.820
Zn: 0.500 0.820 0.566
In: 0.000 0.574 0.574
Ga: 0.500 0.227 0.890
Ga: 0.500 0.890 0.227



A plane-wave DFT calculation with GGA-PBE was carried out for BeCuHgGe after structural relaxation.

Values from the calculation:
The symmetry is F-43m (216). As for the polymorph energy (0 for the lowest one): 112 meV per atom. The value obtained for the total energy is -10.1 eV/cell.

Cell: 4.523 4.523 4.523 Å, 60.00 60.00 60.00°
Atoms (fractional coordinates):
Be: 0.000 0.000 0.000
Cu: 0.750 0.750 0.750
Hg: 0.250 0.250 0.250
Ge: 0.500 0.500 0.500



What is the formula in the second record?
BeCuHgGe